Below is an optimized crystal structure of Mn2NbWN, with properties calculated at the PBE-GGA level.

abc: 3.880 3.880 4.125
angles: 90.00 90.00 90.00
Space group P4/mmm (No. 123)
Inequivalent atoms, fractional coordinates:
Mn 0.000 0.500 0.000 x2
Nb 0.000 0.000 0.500 x1
W 0.500 0.500 0.500 x1
N 0.500 0.500 0.000 x1

Values from the calculation:
Formation energy without anion corrections, eV/atom: -0.127

Below is an optimized crystal structure of DyTm7In4, with properties calculated at the PBE-GGA level.

abc: 14.381 5.604 10.285
angles: 90.00 123.76 90.00
Space group C2/m (No. 12)
Inequivalent atoms, fractional coordinates:
Dy 0.000 0.000 0.000 x2
Tm 0.000 0.500 0.000 x2
Tm 0.064 0.000 0.399 x4
Tm 0.212 0.000 0.877 x4
Tm 0.224 0.500 0.666 x4
In 0.061 0.500 0.756 x4
In 0.181 0.500 0.336 x4

Values from the calculation:
ΔE_f, meV/atom: -61

Below is an optimized crystal structure of Na4InSb2, with properties calculated at the PBE-GGA level.

abc: 5.3811 5.3811 28.6647
angles: 90.00 90.00 120.00
Space group R-3m (No. 166, hexagonal axes)
Inequivalent atoms, fractional coordinates:
Na 0.0000 0.0000 0.1041 x6
Na 0.0000 0.0000 0.2899 x6
In 0.0000 0.0000 0.5000 x3
Sb 0.0000 0.0000 0.4039 x6

Values from the calculation:
Offset from the most stable computed form, kJ per mole of atoms: 0.00
Formation energy without anion corrections, eV/atom: -0.251

Below is an optimized crystal structure of Pr6Y5Th2, with properties calculated at the PBE-GGA level.

abc: 11.716 21.127 3.655
angles: 90.00 90.00 90.00
Space group Pbam (No. 55)
Inequivalent atoms, fractional coordinates:
Pr 0.070 0.145 0.000 x4
Pr 0.085 0.438 0.000 x4
Pr 0.181 0.875 0.500 x4
Y 0.000 0.000 0.500 x2
Y 0.066 0.292 0.500 x4
Y 0.183 0.583 0.500 x4
Th 0.190 0.733 0.000 x4

Values from the calculation:
ΔE_f, meV/atom: 121

Below is an optimized crystal structure of In3PtCl, with properties calculated at the PBE-GGA level.

abc: 5.455 5.455 5.455
angles: 90.00 90.00 90.00
Space group Pm-3m (No. 221)
Inequivalent atoms, fractional coordinates:
In 0.000 0.000 0.500 x3
Pt 0.500 0.500 0.500 x1
Cl 0.000 0.000 0.000 x1

Values from the calculation:
Offset from the most stable computed form, kJ per mole of atoms: 105.13
Formation energy without anion corrections, eV/atom: 0.511

Below is an optimized crystal structure of Ho2ZnCo, with properties calculated at the PBE-GGA level.

abc: 3.7441 3.7441 27.7035
angles: 90.00 90.00 120.00
Space group R-3m (No. 166, hexagonal axes)
Inequivalent atoms, fractional coordinates:
Ho 0.0000 0.0000 0.1137 x6
Zn 0.0000 0.0000 0.0000 x3
Co 0.0000 0.0000 0.5000 x3

Values from the calculation:
Offset from the most stable computed form, kJ per mole of atoms: 40.94
ΔE_f, meV/atom: 151

N(E_F) list, top to bottom, in states/eV/cell: 5.171 23.746 9.940 37.644 0.974 8.296
E list, top to bottom, in eV/atom: -10.064 -3.966 -2.574 -5.713 -2.710 -4.233